Computed, not measured: a relaxed ScSbPd3 crystal at the PBE level of DFT.

The structure belongs to space group Pm-3m (No. 221); the cell edges are 4.8928, 4.8928 and 4.8928 Å and the angles 90.00°, 90.00° and 90.00°. The distinct sites, in fractional coordinates, are Sc at (0.0000, 0.0000, 0.0000), Sb at (0.5000, 0.5000, 0.5000) and Pd at (0.0000, 0.5000, 0.5000).

The density of states at the Fermi level comes out at 2.6 states/eV/f.u. The energy relative to the lowest polymorph listed for this composition comes out at 15.05 kcal/mol of atoms. The calculation puts the volume at 117.1 Å³ per cell.

=====

Computed, not measured: a relaxed LiDy2Tm crystal at the PBE level of DFT.

The structure belongs to space group R-3m (No. 166, hexagonal axes); the cell edges are 3.4355, 3.4355 and 36.1938 Å and the angles 90.00°, 90.00° and 120.00°. The distinct sites, in fractional coordinates, are Li at (0.0000, 0.0000, 0.0000), Dy at (0.0000, 0.0000, 0.0892) and Tm at (0.0000, 0.0000, 0.5000).

The density of states at the Fermi level comes out at 5.3 states/eV/f.u. The energy relative to the lowest polymorph listed for this composition comes out at 2.31 kcal/mol of atoms. The calculation puts the volume at 369.9 Å³ per cell. The value obtained for the energy of formation from the pure elements is 0.172 eV/atom.

=====

Computed, not measured: a relaxed LiSiOF2 crystal at the PBE level of DFT.

The structure belongs to space group P4/mmm (No. 123); the cell edges are 4.1301, 4.1301 and 3.5125 Å and the angles 90.00°, 90.00° and 90.00°. The distinct sites, in fractional coordinates, are Li at (0.0000, 0.0000, 0.0000), Si at (0.5000, 0.5000, 0.5000), O at (0.5000, 0.5000, 0.0000) and F at (0.0000, 0.5000, 0.5000).

The density of states at the Fermi level comes out at 0.7 states/eV/f.u. The energy relative to the lowest polymorph listed for this composition comes out at 0.00 kcal/mol of atoms. The calculation puts the volume at 59.9 Å³ per cell.

=====

Computed, not measured: a relaxed CaLa2In crystal at the PBE level of DFT.

The structure belongs to space group Fm-3m (No. 225); the cell edges are 8.0983, 8.0983 and 8.0983 Å and the angles 90.00°, 90.00° and 90.00°. The distinct sites, in fractional coordinates, are Ca at (0.0000, 0.0000, 0.0000), La at (0.2500, 0.2500, 0.2500) and In at (0.0000, 0.0000, 0.5000).

The density of states at the Fermi level comes out at 3.3 states/eV/f.u. The energy relative to the lowest polymorph listed for this composition comes out at 0.72 kcal/mol of atoms. The calculation puts the volume at 531.1 Å³ per cell. The value obtained for the energy of formation from the pure elements is -0.216 eV/atom.

=====

Computed, not measured: a relaxed PaInBi4 crystal at the PBE level of DFT.

The structure belongs to space group Cmmm (No. 65); the cell edges are 10.4044, 10.5538 and 4.3009 Å and the angles 90.00°, 90.00° and 90.00°. The distinct sites, in fractional coordinates, are Pa at (0.0000, 0.0000, 0.0000), In at (0.0000, 0.5000, 0.5000), Bi at (0.0000, 0.2090, 0.5000) and Bi at (0.2071, 0.5000, 0.0000).

The density of states at the Fermi level comes out at 10.0 states/eV/f.u. The calculation puts the volume at 472.3 Å³ per cell. The value obtained for the energy of formation from the pure elements is 0.429 eV/atom.

=====

Computed, not measured: a relaxed ZrGaCoIr crystal at the PBE level of DFT.

The structure belongs to space group F-43m (No. 216); the cell edges are 6.2624, 6.2624 and 6.2624 Å and the angles 90.00°, 90.00° and 90.00°. The distinct sites, in fractional coordinates, are Zr at (0.0000, 0.0000, 0.0000), Ga at (0.0000, 0.0000, 0.5000), Co at (0.2500, 0.2500, 0.2500) and Ir at (0.2500, 0.2500, 0.7500).

The density of states at the Fermi level comes out at 1.0 states/eV/f.u. The calculation puts the volume at 245.6 Å³ per cell. The value obtained for the energy of formation from the pure elements is -0.573 eV/atom.

=====

Computed, not measured: a relaxed NaAlVGa2 crystal at the PBE level of DFT.

The structure belongs to space group P4/mmm (No. 123); the cell edges are 4.8365, 4.8365 and 4.8689 Å and the angles 90.00°, 90.00° and 90.00°. The distinct sites, in fractional coordinates, are Na at (0.0000, 0.0000, 0.0000), Al at (0.5000, 0.5000, 0.5000), V at (0.0000, 0.0000, 0.5000) and Ga at (0.0000, 0.5000, 0.0000).

The density of states at the Fermi level comes out at 7.3 states/eV/f.u. The calculation puts the volume at 113.9 Å³ per cell. The value obtained for the energy of formation from the pure elements is 1.423 eV/atom.

=====

Computed, not measured: a relaxed Tm2LuTh crystal at the PBE level of DFT.

The structure belongs to space group Fm-3m (No. 225); the cell edges are 7.9017, 7.9017 and 7.9017 Å and the angles 90.00°, 90.00° and 90.00°. The distinct sites, in fractional coordinates, are Tm at (0.2500, 0.2500, 0.2500), Lu at (0.0000, 0.0000, 0.0000) and Th at (0.0000, 0.0000, 0.5000).

The density of states at the Fermi level comes out at 7.4 states/eV/f.u. The energy relative to the lowest polymorph listed for this composition comes out at 2.54 kcal/mol of atoms. The calculation puts the volume at 493.4 Å³ per cell. The value obtained for the energy of formation from the pure elements is 0.138 eV/atom.

=====

Computed, not measured: a relaxed PdAu2N crystal at the PBE level of DFT.

The structure belongs to space group I-42d (No. 122); the cell edges are 5.1285, 5.1285 and 12.1714 Å and the angles 90.00°, 90.00° and 90.00°. The distinct sites, in fractional coordinates, are Pd at (0.0000, 0.0000, 0.0000), Au at (0.0762, 0.2500, 0.6250) and N at (0.0000, 0.0000, 0.5000).

The total energy comes out at -4.04 eV/atom. The density of states at the Fermi level comes out at 1.6 states/eV/f.u. The calculation puts the volume at 320.1 Å³ per cell.

=====

Computed, not measured: a relaxed Pu2TcGe3 crystal at the PBE level of DFT.

The structure belongs to space group Immm (No. 71); the cell edges are 4.4733, 5.4612 and 10.3585 Å and the angles 90.00°, 90.00° and 90.00°. The distinct sites, in fractional coordinates, are Pu at (0.0000, 0.0000, 0.1878), Tc at (0.0000, 0.0000, 0.5000), Ge at (0.0000, 0.5000, 0.1249) and Ge at (0.0000, 0.5000, 0.5000).

The density of states at the Fermi level comes out at 18.4 states/eV/f.u. The energy relative to the lowest polymorph listed for this composition comes out at 3.60 kcal/mol of atoms. The calculation puts the volume at 253.1 Å³ per cell. The value obtained for the energy of formation from the pure elements is -0.133 eV/atom.

=====

Computed, not measured: a relaxed Pm4P2O crystal at the PBE level of DFT.

The structure belongs to space group I4/mmm (No. 139); the cell edges are 4.5633, 4.5633 and 15.5997 Å and the angles 90.00°, 90.00° and 90.00°. The distinct sites, in fractional coordinates, are Pm at (0.0000, 0.0000, 0.1773), Pm at (0.0000, 0.5000, 0.0000), P at (0.0000, 0.0000, 0.3648) and O at (0.0000, 0.0000, 0.0000).

The total energy comes out at -6.43 eV/atom. The density of states at the Fermi level comes out at 5.7 states/eV/f.u. The calculation puts the volume at 324.8 Å³ per cell.

=====

Computed, not measured: a relaxed TaCu3Hg crystal at the PBE level of DFT.

The structure belongs to space group Pm-3m (No. 221); the cell edges are 4.6382, 4.6382 and 4.6382 Å and the angles 90.00°, 90.00° and 90.00°. The distinct sites, in fractional coordinates, are Ta at (0.0000, 0.0000, 0.0000), Cu at (0.0000, 0.5000, 0.5000) and Hg at (0.5000, 0.5000, 0.5000).

The density of states at the Fermi level comes out at 4.8 states/eV/f.u. The energy relative to the lowest polymorph listed for this composition comes out at 2.64 kcal/mol of atoms. The calculation puts the volume at 99.8 Å³ per cell. The value obtained for the energy of formation from the pure elements is 1.485 eV/atom.